5
Lattice="-3.895 3.547 -2.026 -2.804 -0.285 4.891 2.971 4.381 1.959" Properties=species:S:1:pos:R:3 comment="HfMg3Te (PBE-GGA, relaxed)" raw_formation_energy_ev_per_atom=1.062 sg="Pm-3m, No. 221" crystal_system=cubic density_g_cm3=3.50 pbc="T T T"
Mg -1.947 1.774 -1.013
Hf 0.000 0.000 0.000
Mg -1.402 -0.142 2.445
Te -1.864 3.822 2.411
Mg 1.486 2.191 0.979

18
Lattice="-0.832 -5.675 -8.270 -1.977 -4.428 3.238 -9.169 2.888 -1.060" Properties=species:S:1:pos:R:3 comment="Tb6Ho2Pu (PBE-GGA, relaxed)" sg="P2_1/c, No. 14" crystal_system=monoclinic density_g_cm3=8.94 formation_energy_ev_per_atom=0.15 pbc="T T T"
Tb -5.150 -0.763 -3.018
Tb -6.827 -6.452 -3.074
Tb -10.559 -3.718 -6.570
Ho -1.856 -2.975 -5.034
Pu -1.404 -5.052 -2.516
Ho -4.287 -1.687 0.452
Tb -4.461 -5.262 -5.204
Tb -7.516 -3.274 -4.079
Tb -4.206 -8.883 -4.773
Tb -10.024 -5.960 -4.011
Ho -7.691 -5.528 -6.544
Pu -4.585 1.444 -0.530
Tb -7.772 1.668 -1.320
Tb -1.419 -3.497 0.478
Tb -1.954 -1.255 -2.081
Tb -7.516 -1.954 -0.888
Ho -10.121 -4.241 -1.058
Tb -4.462 -3.941 -2.014

14
Lattice="-0.039 -1.930 -3.887 9.053 -2.391 1.096 -5.494 -12.529 6.276" Properties=species:S:1:pos:R:3 comment="PrNdI5 (PBE-GGA, relaxed)" raw_formation_energy_ev_per_atom=-1.387 sg="P2_1/m, No. 11" crystal_system=monoclinic density_g_cm3=4.98 pbc="T T T"
Nd 1.664 -11.081 1.850
I 7.443 -3.442 0.423
Nd 1.856 -5.769 1.634
I -3.923 -13.408 3.062
I -0.600 -10.275 3.896
I 2.475 -2.910 0.209
I 3.303 -8.574 3.012
Pr 0.095 -3.579 -1.858
I 4.119 -6.574 -0.412
I 4.598 -12.359 2.456
I 0.216 -8.275 0.472
I -1.078 -4.491 1.029
Pr 3.425 -13.270 5.343
I 1.045 -13.939 3.276

Repeat the second record exactly.
18
Lattice="-0.832 -5.675 -8.270 -1.977 -4.428 3.238 -9.169 2.888 -1.060" Properties=species:S:1:pos:R:3 comment="Tb6Ho2Pu (PBE-GGA, relaxed)" sg="P2_1/c, No. 14" crystal_system=monoclinic density_g_cm3=8.94 formation_energy_ev_per_atom=0.15 pbc="T T T"
Tb -5.150 -0.763 -3.018
Tb -6.827 -6.452 -3.074
Tb -10.559 -3.718 -6.570
Ho -1.856 -2.975 -5.034
Pu -1.404 -5.052 -2.516
Ho -4.287 -1.687 0.452
Tb -4.461 -5.262 -5.204
Tb -7.516 -3.274 -4.079
Tb -4.206 -8.883 -4.773
Tb -10.024 -5.960 -4.011
Ho -7.691 -5.528 -6.544
Pu -4.585 1.444 -0.530
Tb -7.772 1.668 -1.320
Tb -1.419 -3.497 0.478
Tb -1.954 -1.255 -2.081
Tb -7.516 -1.954 -0.888
Ho -10.121 -4.241 -1.058
Tb -4.462 -3.941 -2.014

Question: Number 3 is which compound?
Answer: PrNdI5